A plane-wave DFT calculation with GGA-PBE was carried out for an optimized crystal structure of SrPPd3.

Cell and atoms, written as POSCAR:
```
SrPPd3
1.0
-4.453 4.453 9.743
4.453 -4.453 9.743
4.453 4.453 -9.743
Sr P Pd
8 8 24
direct
0.000 0.000 0.000 Sr
0.217 0.217 0.000 Sr
0.236 0.736 0.500 Sr
0.480 0.980 0.500 Sr
0.486 0.486 0.000 Sr
0.730 0.730 0.000 Sr
0.750 0.250 0.500 Sr
0.967 0.467 0.500 Sr
0.143 0.154 0.503 P
0.143 0.640 0.989 P
0.390 0.393 0.489 P
0.390 0.901 0.997 P
0.651 0.154 0.011 P
0.651 0.640 0.497 P
0.904 0.393 0.003 P
0.904 0.901 0.511 P
0.015 0.017 0.500 Pd
0.015 0.515 0.998 Pd
0.106 0.408 0.302 Pd
0.106 0.804 0.698 Pd
0.117 0.859 0.258 Pd
0.158 0.356 0.802 Pd
0.265 0.265 0.498 Pd
0.265 0.768 0.000 Pd
0.357 0.097 0.740 Pd
0.357 0.617 0.260 Pd
0.367 0.607 0.760 Pd
0.416 0.112 0.304 Pd
0.518 0.017 0.002 Pd
0.518 0.515 0.500 Pd
0.554 0.356 0.198 Pd
0.601 0.859 0.742 Pd
0.609 0.367 0.758 Pd
0.609 0.851 0.242 Pd
0.767 0.265 0.000 Pd
0.767 0.768 0.502 Pd
0.808 0.112 0.696 Pd
0.847 0.607 0.240 Pd
0.862 0.058 0.196 Pd
0.862 0.666 0.804 Pd
```

- Energy relative to the lowest polymorph listed for this composition: 0 meV/atom
- Mass density: 7.53 Mg/m³